A plane-wave DFT calculation with PBE-GGA was carried out for an optimized crystal structure of ErLu2Pu.

a = 3.441 Å, b = 3.441 Å, c = 9.819 Å
α = 90.00°, β = 90.00°, γ = 90.00°
Space group P4/mmm (No. 123)
Symmetry-distinct sites (fractional):
Er (0.000, 0.000, 0.000) [1 per cell]
Lu (0.500, 0.500, 0.254) [2 per cell]
Pu (0.000, 0.000, 0.500) [1 per cell]

The calculation puts the energy above the most stable polymorph in this dataset at 0.000 eV/atom. The calculation puts the final energy at -6.894 eV per atom. The calculated formation energy comes out at 90 meV per atom.